(1)
Material: SiNi3W2
Method: DFT, GGA-PBEsol
State: relaxed

abc: 7.533 4.669 4.669
angles: 60.75 90.00 90.00
Sites, in units of the cell vectors:
Si (0.000, 0.247, 0.753)
Si (0.000, 0.753, 0.247)
Ni (0.000, 0.237, 0.237)
Ni (0.241, 0.426, 0.426)
Ni (0.500, 0.082, 0.590)
Ni (0.500, 0.590, 0.082)
Ni (0.500, 0.590, 0.590)
Ni (0.759, 0.426, 0.426)
W (0.192, 0.756, 0.756)
W (0.318, 0.086, 0.086)
W (0.682, 0.086, 0.086)
W (0.808, 0.756, 0.756)

Calculated values
Formation energy (no corrections) = -280 meV per atom
M_tot = 0.002 μB/f.u.
Crystal system = orthorhombic

(2)
Material: SiNiW2
Method: DFT, GGA-PBEsol
State: relaxed

abc: 3.308 4.266 7.696
angles: 90.00 90.00 90.00
Sites, in units of the cell vectors:
Si (0.000, 0.000, 0.000)
Si (0.500, 0.500, 0.000)
Ni (0.000, 0.500, 0.798)
Ni (0.500, 0.000, 0.798)
W (0.000, 0.000, 0.543)
W (0.000, 0.500, 0.258)
W (0.500, 0.000, 0.258)
W (0.500, 0.500, 0.543)

Calculated values
Formation energy (no corrections) = -40 meV per atom
M_tot = 0.000 μB/f.u.
Crystal system = orthorhombic

(3)
Material: SiNi3W2
Method: DFT, GGA-PBEsol
State: relaxed

abc: 4.700 4.700 7.466
angles: 90.00 90.00 120.00
Sites, in units of the cell vectors:
Si (0.000, 0.000, 0.000)
Si (0.000, 0.000, 0.500)
Ni (0.169, 0.339, 0.250)
Ni (0.169, 0.831, 0.250)
Ni (0.339, 0.169, 0.750)
Ni (0.661, 0.831, 0.250)
Ni (0.831, 0.169, 0.750)
Ni (0.831, 0.661, 0.750)
W (0.333, 0.667, 0.564)
W (0.333, 0.667, 0.936)
W (0.667, 0.333, 0.064)
W (0.667, 0.333, 0.436)

Calculated values
Formation energy (no corrections) = -353 meV per atom
M_tot = 0.001 μB/f.u.
Crystal system = hexagonal

(4)
Material: SiNiW2
Method: DFT, GGA-PBEsol
State: relaxed

abc: 2.737 2.737 7.148
angles: 90.00 90.00 90.00
Sites, in units of the cell vectors:
Si (0.000, 0.000, 0.000)
Ni (0.500, 0.500, 0.819)
W (0.000, 0.000, 0.562)
W (0.500, 0.500, 0.258)

Calculated values
Formation energy (no corrections) = 20 meV per atom
M_tot = 0.003 μB/f.u.
Crystal system = tetragonal

(5)
Material: SiNiW2
Method: DFT, GGA-PBEsol
State: relaxed

abc: 3.708 3.708 3.952
angles: 90.00 90.00 90.00
Sites, in units of the cell vectors:
Si (0.000, 0.000, 0.000)
Ni (0.500, 0.500, 0.000)
W (0.000, 0.500, 0.500)
W (0.500, 0.000, 0.500)

Calculated values
Formation energy (no corrections) = 21 meV per atom
M_tot = 0.001 μB/f.u.
Crystal system = tetragonal

(6)
Material: Y2Si5Ni3
Method: DFT, GGA-PBEsol
State: relaxed

abc: 7.787 7.787 7.787
angles: 104.97 90.04 137.80
Sites, in units of the cell vectors:
Y (0.132, 0.236, 0.368)
Y (0.368, 0.736, 0.105)
Y (0.632, 0.264, 0.895)
Y (0.868, 0.764, 0.632)
Si (0.016, 0.750, 0.266)
Si (0.107, 0.653, 0.759)
Si (0.250, 0.250, 0.000)
Si (0.393, 0.153, 0.546)
Si (0.484, 0.750, 0.734)
Si (0.516, 0.250, 0.266)
Si (0.607, 0.847, 0.454)
Si (0.750, 0.750, 0.000)
Si (0.893, 0.347, 0.241)
Si (0.984, 0.250, 0.734)
Ni (0.134, 0.888, 0.022)
Ni (0.250, 0.750, 0.500)
Ni (0.366, 0.388, 0.754)
Ni (0.634, 0.612, 0.246)
Ni (0.750, 0.250, 0.500)
Ni (0.866, 0.112, 0.978)

Calculated values
Formation energy (no corrections) = -886 meV per atom
M_tot = 0.000 μB/f.u.
Crystal system = orthorhombic

(7)
Material: YSi3Ni5
Method: DFT, GGA-PBEsol
State: relaxed

abc: 18.490 3.741 6.569
angles: 90.00 90.00 90.00
Sites, in units of the cell vectors:
Y (0.144, 0.250, 0.123)
Y (0.356, 0.750, 0.623)
Y (0.644, 0.250, 0.377)
Y (0.856, 0.750, 0.877)
Si (0.074, 0.750, 0.845)
Si (0.086, 0.750, 0.419)
Si (0.237, 0.250, 0.621)
Si (0.263, 0.750, 0.121)
Si (0.414, 0.250, 0.919)
Si (0.426, 0.250, 0.345)
Si (0.574, 0.750, 0.655)
Si (0.586, 0.750, 0.081)
Si (0.737, 0.250, 0.879)
Si (0.763, 0.750, 0.379)
Si (0.914, 0.250, 0.581)
Si (0.926, 0.250, 0.155)
Ni (0.005, 0.750, 0.134)
Ni (0.015, 0.250, 0.385)
Ni (0.115, 0.250, 0.644)
Ni (0.199, 0.750, 0.814)
Ni (0.207, 0.750, 0.430)
Ni (0.293, 0.250, 0.930)
Ni (0.301, 0.250, 0.314)
Ni (0.385, 0.750, 0.144)
Ni (0.485, 0.750, 0.885)
Ni (0.495, 0.250, 0.634)
Ni (0.505, 0.750, 0.366)
Ni (0.515, 0.250, 0.115)
Ni (0.615, 0.250, 0.856)
Ni (0.699, 0.750, 0.686)
Ni (0.707, 0.750, 0.070)
Ni (0.793, 0.250, 0.570)
Ni (0.801, 0.250, 0.186)
Ni (0.885, 0.750, 0.356)
Ni (0.985, 0.750, 0.615)
Ni (0.995, 0.250, 0.866)

Calculated values
Formation energy (no corrections) = -785 meV per atom
M_tot = 0.000 μB/f.u.
Crystal system = orthorhombic

(8)
Material: YSi2Ni
Method: DFT, GGA-PBEsol
State: relaxed

abc: 3.962 16.218 3.941
angles: 90.00 90.00 90.00
Sites, in units of the cell vectors:
Y (0.000, 0.106, 0.250)
Y (0.000, 0.894, 0.750)
Y (0.500, 0.394, 0.750)
Y (0.500, 0.606, 0.250)
Si (0.000, 0.250, 0.750)
Si (0.000, 0.459, 0.250)
Si (0.000, 0.541, 0.750)
Si (0.000, 0.750, 0.250)
Si (0.500, 0.041, 0.750)
Si (0.500, 0.250, 0.250)
Si (0.500, 0.750, 0.750)
Si (0.500, 0.959, 0.250)
Ni (0.000, 0.322, 0.250)
Ni (0.000, 0.678, 0.750)
Ni (0.500, 0.178, 0.750)
Ni (0.500, 0.822, 0.250)

Calculated values
Formation energy (no corrections) = -929 meV per atom
M_tot = 0.000 μB/f.u.
Crystal system = orthorhombic